Record 1
La6AuI3Br2 | PBE | relaxed

Calculated values
Total magnetic moment (μB per formula unit): 0.0
Raw formation energy (eV/f.u.): -12.85
Symmetry: C2/m (12)

Lattice parameters (Å, degrees): 7.3149 7.3149 8.7339 98.03 98.03 120.31
Fractional coordinates of all 12 atoms:
I1 0.5000 0.5000 0.5000
I2 0.1620 0.8380 0.5000
I3 0.8380 0.1620 0.5000
La1 0.0720 0.4067 0.2138
La2 0.7332 0.7332 0.2102
La3 0.5933 0.9280 0.7862
La4 0.9280 0.5933 0.7862
La5 0.4067 0.0720 0.2138
La6 0.2668 0.2668 0.7898
Br1 0.6682 0.3318 0.0000
Br2 0.3318 0.6682 0.0000
Au1 0.0000 0.0000 0.0000

Record 2
Na2AuIBr6 | PBE | relaxed

Calculated values
Total magnetic moment (μB per formula unit): 0.0
Raw formation energy (eV/f.u.): -6.67
Symmetry: P1 (1)

Lattice parameters (Å, degrees): 8.2624 8.7403 9.2830 54.68 51.84 47.01
Fractional coordinates of all 10 atoms:
I1 0.3008 0.3531 0.0235
Br1 0.1992 0.8451 0.2718
Br2 0.0558 0.4982 0.7341
Br3 0.6050 0.1551 0.3152
Br4 0.7470 0.1280 0.7747
Br5 0.4919 0.7512 0.7452
Br6 0.8693 0.5949 0.2500
Na1 0.0019 0.0999 0.9242
Na2 0.5536 0.4253 0.4615
Au1 0.8372 0.8108 0.5152

Record 3
AuIBrO2 | PBE | relaxed

Calculated values
Total magnetic moment (μB per formula unit): 0.0
Raw formation energy (eV/f.u.): 2.55
Distance to the lowest polymorph of the same formula (eV/atom): 0.027
Symmetry: P4/mmm (123)

Lattice parameters (Å, degrees): 3.9313 3.9313 8.2717 90.00 90.00 90.00
Fractional coordinates of all 5 atoms:
I1 0.0000 0.0000 0.5000
Br1 0.0000 0.0000 0.0000
O1 0.0000 0.5000 0.0000
O2 0.5000 0.0000 0.0000
Au1 0.5000 0.5000 0.5000

Record 4
AuIBrO2 | PBE | relaxed

Calculated values
Total magnetic moment (μB per formula unit): 1.6
Raw formation energy (eV/f.u.): 2.42
Distance to the lowest polymorph of the same formula (eV/atom): 0.000
Symmetry: P4/mmm (123)

Lattice parameters (Å, degrees): 4.0769 4.0769 7.9341 90.00 90.00 90.00
Site moments in Bohr magnetons follow the coordinates.
Fractional coordinates of all 5 atoms:
Au1 0.0000 0.0000 0.0000  0.37
Br1 0.5000 0.5000 0.5000  0.00
I1 0.0000 0.0000 0.5000  0.00
O1 0.0000 0.5000 0.0000  0.51
O2 0.5000 0.0000 0.0000  0.51

Record 5
P2AuIBr | PBE | relaxed

Calculated values
Total magnetic moment (μB per formula unit): 1.6
Raw formation energy (eV/f.u.): 7.35
Symmetry: P4/mmm (123)

Lattice parameters (Å, degrees): 5.2705 5.5588 5.2705 90.00 90.00 90.00
Site moments in Bohr magnetons follow the coordinates.
Fractional coordinates of all 5 atoms:
P1 0.5000 0.0000 0.0000  0.36
P2 0.0000 0.0000 0.5000  0.38
Br1 0.0000 0.5000 0.0000  0.04
I1 0.0000 0.0000 0.0000  -0.02
Au1 0.5000 0.5000 0.5000  -0.01

Record 6
Pr6Au2I3Br | PBE | relaxed

Calculated values
Total magnetic moment (μB per formula unit): 0.0
Raw formation energy (eV/f.u.): -10.85
Symmetry: C2/m (12)

Lattice parameters (Å, degrees): 7.7315 7.7315 8.0285 99.13 99.13 120.03
Fractional coordinates of all 12 atoms:
I1 0.8401 0.1599 0.5000
I2 0.5000 0.5000 0.5000
I3 0.1599 0.8401 0.5000
Pr1 0.0702 0.4218 0.2121
Pr2 0.9298 0.5782 0.7879
Pr3 0.2857 0.2857 0.7975
Pr4 0.4218 0.0702 0.2121
Pr5 0.5782 0.9298 0.7879
Pr6 0.7143 0.7143 0.2025
Au1 0.3316 0.6684 0.0000
Au2 0.6684 0.3316 0.0000
Br1 0.0000 0.0000 0.0000

Record 7
Rb4AuIBr2 | PBE | relaxed

Calculated values
Total magnetic moment (μB per formula unit): 0.0
Raw formation energy (eV/f.u.): -10.48
Symmetry: P2/m (10)

Lattice parameters (Å, degrees): 5.0406 8.7989 8.7661 70.75 90.00 90.00
Fractional coordinates of all 8 atoms:
Rb1 0.5000 0.2403 0.7490
Rb2 0.0000 0.7626 0.7405
Rb3 0.0000 0.2374 0.2595
Rb4 0.5000 0.7597 0.2510
Au1 0.0000 0.5000 0.5000
Br1 0.5000 0.0000 0.5000
Br2 0.0000 0.0000 0.0000
I1 0.5000 0.5000 0.0000

Record 8
RbAuI2Br | PBE | relaxed

Calculated values
Total magnetic moment (μB per formula unit): 0.0
Raw formation energy (eV/f.u.): -3.35
Symmetry: P4/mmm (123)

Lattice parameters (Å, degrees): 5.7506 5.7506 5.5647 90.00 90.00 90.00
Fractional coordinates of all 5 atoms:
I1 0.5000 0.0000 0.0000
I2 0.0000 0.5000 0.0000
Br1 0.0000 0.0000 0.5000
Au1 0.0000 0.0000 0.0000
Rb1 0.5000 0.5000 0.5000

Record 9
Rb3Au2I4Br2 | PBE | relaxed

Calculated values
Total magnetic moment (μB per formula unit): 0.0
Raw formation energy (eV/f.u.): -9.59
Symmetry: I4/mmm (139)

Lattice parameters (Å, degrees): 5.6056 5.6056 15.2924 100.56 100.56 90.00
Fractional coordinates of all 11 atoms:
I1 0.9138 0.4138 0.8276
I2 0.5862 0.0862 0.1724
I3 0.4138 0.9138 0.8276
I4 0.0862 0.5862 0.1724
Au1 0.6022 0.6022 0.2043
Au2 0.3978 0.3978 0.7957
Br1 0.6992 0.6992 0.3985
Br2 0.3008 0.3008 0.6015
Rb1 0.8142 0.8142 0.6285
Rb2 0.1858 0.1858 0.3715
Rb3 0.0000 0.0000 0.0000

Record 10
Rb4Au2IBr | PBE | relaxed

Calculated values
Total magnetic moment (μB per formula unit): 0.0
Raw formation energy (eV/f.u.): -7.49
Symmetry: P2/m (10)

Lattice parameters (Å, degrees): 5.0645 8.8198 8.8075 70.72 90.00 90.00
Fractional coordinates of all 8 atoms:
I1 0.0000 0.5000 0.5000
Rb1 0.5000 0.2444 0.7602
Rb2 0.5000 0.7556 0.2398
Rb3 0.0000 0.7488 0.7588
Rb4 0.0000 0.2512 0.2412
Au1 0.5000 0.0000 0.5000
Au2 0.0000 0.0000 0.0000
Br1 0.5000 0.5000 0.0000

Record 11
Rb3Au2IBr9 | PBE | relaxed

Calculated values
Total magnetic moment (μB per formula unit): 0.0
Raw formation energy (eV/f.u.): -11.23
Symmetry: P-3m1 (164)

Lattice parameters (Å, degrees): 7.8775 7.8775 9.8293 90.00 90.00 120.00
Fractional coordinates of all 15 atoms:
Rb1 0.3333 0.6667 0.6900
Rb2 0.6667 0.3333 0.3100
Rb3 0.0000 0.0000 0.0000
Br1 0.5000 0.5000 0.0000
Br2 0.3512 0.1756 0.6847
Br3 0.1756 0.8244 0.3153
Br4 0.6488 0.8244 0.3153
Br5 0.1756 0.3512 0.3153
Br6 0.8244 0.1756 0.6847
Br7 0.5000 0.0000 0.0000
Br8 0.8244 0.6488 0.6847
Br9 0.0000 0.5000 0.0000
Au1 0.3333 0.6667 0.1569
Au2 0.6667 0.3333 0.8431
I1 0.0000 0.0000 0.5000

Record 12
RbAuI2Br6 | PBE | relaxed

Calculated values
Total magnetic moment (μB per formula unit): 0.0
Raw formation energy (eV/f.u.): -4.30
Symmetry: P-1 (2)

Lattice parameters (Å, degrees): 6.1286 12.0211 8.3397 91.49 118.88 119.23
Fractional coordinates of all 10 atoms:
Br1 0.9342 0.0513 0.6804
Br2 0.0589 0.9442 0.2801
Br3 0.7614 0.5664 0.7743
Br4 0.2318 0.4292 0.1863
Br5 0.4350 0.8434 0.7861
Br6 0.5580 0.1521 0.1743
I1 0.3831 0.3201 0.7479
I2 0.6100 0.6755 0.2126
Rb1 0.9965 0.4978 0.4802
Au1 0.9965 0.9977 0.9802

Record 13
Rb4AuI2Br | PBE | relaxed

Calculated values
Total magnetic moment (μB per formula unit): 0.0
Raw formation energy (eV/f.u.): -9.98
Symmetry: P2/m (10)

Lattice parameters (Å, degrees): 5.1260 8.9159 8.9158 70.68 90.00 90.00
Fractional coordinates of all 8 atoms:
I1 0.5000 0.0000 0.5000
I2 0.0000 0.0000 0.0000
Br1 0.5000 0.5000 0.0000
Au1 0.0000 0.5000 0.5000
Rb1 0.0000 0.2645 0.2425
Rb2 0.5000 0.2623 0.7484
Rb3 0.5000 0.7377 0.2516
Rb4 0.0000 0.7355 0.7575

Record 14
Rb8AuI3Br4 | PBE | relaxed

Calculated values
Total magnetic moment (μB per formula unit): 0.0
Raw formation energy (eV/f.u.): -23.45
Symmetry: R-3m (166)

Lattice parameters (Å, degrees): 10.1652 10.2077 10.1629 119.86 120.01 90.00
Fractional coordinates of all 16 atoms:
Br1 0.5000 0.0000 0.0000
Br2 0.5000 0.0000 0.5000
Br3 0.0000 0.0000 0.0000
Br4 0.0000 0.0000 0.5000
Au1 0.0000 0.5000 0.0000
Rb1 0.2444 0.2332 0.4888
Rb2 0.2518 0.7628 0.0110
Rb3 0.7556 0.7668 0.5112
Rb4 0.7477 0.2368 0.4955
Rb5 0.7482 0.2372 0.9890
Rb6 0.2523 0.7632 0.5045
Rb7 0.2408 0.2372 0.9890
Rb8 0.7592 0.7628 0.0110
I1 0.0000 0.5000 0.5000
I2 0.5000 0.5000 0.5000
I3 0.5000 0.5000 0.0000

Record 15
RbAuIBr2 | PBE | relaxed

Calculated values
Total magnetic moment (μB per formula unit): 0.0
Raw formation energy (eV/f.u.): -3.64
Symmetry: P4/mmm (123)

Lattice parameters (Å, degrees): 5.5034 5.5034 5.6851 90.00 90.00 90.00
Fractional coordinates of all 5 atoms:
I1 0.0000 0.0000 0.5000
Rb1 0.5000 0.5000 0.5000
Br1 0.0000 0.5000 0.0000
Br2 0.5000 0.0000 0.0000
Au1 0.0000 0.0000 0.0000

Record 16
Rb2AuI2Br2 | PBE | relaxed

Calculated values
Total magnetic moment (μB per formula unit): 0.0
Raw formation energy (eV/f.u.): -6.70
Symmetry: C2/m (12)

Lattice parameters (Å, degrees): 8.9453 6.6230 10.2592 71.16 37.74 90.00
Fractional coordinates of all 7 atoms:
Rb1 0.1851 0.7211 0.5579
Rb2 0.8149 0.2789 0.4421
I1 0.5000 0.7498 0.0000
I2 0.5000 0.2502 0.0000
Au1 0.0000 0.0000 0.0000
Br1 0.3039 0.2154 0.5693
Br2 0.6961 0.7846 0.4307

Record 17
SbAuI2Br | PBE | relaxed

Calculated values
Total magnetic moment (μB per formula unit): 0.0
Raw formation energy (eV/f.u.): 1.61
Distance to the lowest polymorph of the same formula (eV/atom): 0.000
Symmetry: P4/mmm (123)

Lattice parameters (Å, degrees): 5.5472 5.5472 5.6198 90.00 90.00 90.00
Fractional coordinates of all 5 atoms:
I1 0.0000 0.5000 0.0000
I2 0.5000 0.0000 0.0000
Sb1 0.0000 0.0000 0.5000
Au1 0.0000 0.0000 0.0000
Br1 0.5000 0.5000 0.5000

Record 18
SbAuI2Br | PBE | relaxed

Calculated values
Total magnetic moment (μB per formula unit): 1.3
Raw formation energy (eV/f.u.): 4.49
Distance to the lowest polymorph of the same formula (eV/atom): 0.576
Symmetry: P4/mmm (123)

Lattice parameters (Å, degrees): 5.8352 5.8352 5.8199 90.00 90.00 90.00
Site moments in Bohr magnetons follow the coordinates.
Fractional coordinates of all 5 atoms:
I1 0.5000 0.0000 0.0000  0.04
I2 0.0000 0.5000 0.0000  0.04
Sb1 0.0000 0.0000 0.5000  0.54
Br1 0.0000 0.0000 0.0000  0.00
Au1 0.5000 0.5000 0.5000  -0.07

Record 19
AuSe2IBr | PBE | relaxed

Calculated values
Total magnetic moment (μB per formula unit): 0.0
Raw formation energy (eV/f.u.): 2.36
Distance to the lowest polymorph of the same formula (eV/atom): 0.000
Symmetry: P4/mmm (123)

Lattice parameters (Å, degrees): 5.2193 5.2193 5.1332 90.00 90.00 90.00
Fractional coordinates of all 5 atoms:
Au1 0.0000 0.0000 0.0000
I1 0.5000 0.5000 0.5000
Se1 0.5000 0.0000 0.0000
Se2 0.0000 0.5000 0.0000
Br1 0.0000 0.0000 0.5000

Record 20
SnAu2IBr | PBE | relaxed

Calculated values
Total magnetic moment (μB per formula unit): 0.0
Raw formation energy (eV/f.u.): 2.71
Symmetry: P4/mmm (123)

Lattice parameters (Å, degrees): 5.3260 6.3720 5.3260 90.00 90.00 90.00
Fractional coordinates of all 5 atoms:
Br1 0.5000 0.5000 0.5000
I1 0.0000 0.0000 0.0000
Au1 0.0000 0.0000 0.5000
Au2 0.5000 0.0000 0.0000
Sn1 0.0000 0.5000 0.0000

Record 21
Te2AuIBr | PBE | relaxed

Calculated values
Total magnetic moment (μB per formula unit): 0.0
Raw formation energy (eV/f.u.): 2.17
Distance to the lowest polymorph of the same formula (eV/atom): 0.000
Symmetry: P4/mmm (123)

Lattice parameters (Å, degrees): 5.5154 5.5154 5.5610 90.00 90.00 90.00
Fractional coordinates of all 5 atoms:
Br1 0.5000 0.5000 0.5000
Te1 0.0000 0.5000 0.0000
Te2 0.5000 0.0000 0.0000
Au1 0.0000 0.0000 0.0000
I1 0.0000 0.0000 0.5000

Record 22
TeAuI2Br | PBE | relaxed

Calculated values
Total magnetic moment (μB per formula unit): 0.0
Raw formation energy (eV/f.u.): 4.25
Distance to the lowest polymorph of the same formula (eV/atom): 0.490
Symmetry: P4/mmm (123)

Lattice parameters (Å, degrees): 5.8381 5.8381 5.6181 90.00 90.00 90.00
Fractional coordinates of all 5 atoms:
I1 0.5000 0.0000 0.0000
I2 0.0000 0.5000 0.0000
Br1 0.0000 0.0000 0.0000
Au1 0.5000 0.5000 0.5000
Te1 0.0000 0.0000 0.5000

Record 23
TeAuI2Br | PBE | relaxed

Calculated values
Total magnetic moment (μB per formula unit): 0.0
Raw formation energy (eV/f.u.): 1.80
Distance to the lowest polymorph of the same formula (eV/atom): 0.000
Symmetry: P4/mmm (123)

Lattice parameters (Å, degrees): 5.5584 5.5584 5.6279 90.00 90.00 90.00
Fractional coordinates of all 5 atoms:
Br1 0.5000 0.5000 0.5000
Te1 0.0000 0.0000 0.5000
I1 0.0000 0.5000 0.0000
I2 0.5000 0.0000 0.0000
Au1 0.0000 0.0000 0.0000

Record 24
Te2AuIBr | PBE | relaxed

Calculated values
Total magnetic moment (μB per formula unit): 0.0
Raw formation energy (eV/f.u.): 4.97
Distance to the lowest polymorph of the same formula (eV/atom): 0.559
Symmetry: P4/mmm (123)

Lattice parameters (Å, degrees): 5.6188 5.6188 5.7601 90.00 90.00 90.00
Fractional coordinates of all 5 atoms:
Te1 0.0000 0.5000 0.0000
Te2 0.5000 0.0000 0.0000
Br1 0.0000 0.0000 0.0000
Au1 0.5000 0.5000 0.5000
I1 0.0000 0.0000 0.5000

Record 25
TlAuIBr2 | PBE | relaxed

Calculated values
Total magnetic moment (μB per formula unit): 0.0
Raw formation energy (eV/f.u.): -1.72
Symmetry: P4/mmm (123)

Lattice parameters (Å, degrees): 5.4239 5.4239 5.6759 90.00 90.00 90.00
Fractional coordinates of all 5 atoms:
Br1 0.0000 0.5000 0.0000
Br2 0.5000 0.0000 0.0000
Au1 0.0000 0.0000 0.0000
Tl1 0.5000 0.5000 0.5000
I1 0.0000 0.0000 0.5000